The following is a GGA+U calculation of a geometry-optimized Fe15O16 structure, from the Alexandria database.

a = 6.267 Å, b = 6.288 Å, c = 8.729 Å
α = 90.20°, β = 90.31°, γ = 90.37°
Sites, in units of the cell vectors:
1 Fe 0.000 0.000 0.000
2 Fe 0.000 0.005 0.498
3 Fe 0.004 0.492 0.504
4 Fe 0.238 0.819 0.741
5 Fe 0.247 0.744 0.248
6 Fe 0.253 0.257 0.246
7 Fe 0.281 0.461 0.877
8 Fe 0.489 0.492 0.506
9 Fe 0.494 0.005 0.498
10 Fe 0.505 0.994 0.002
11 Fe 0.738 0.745 0.254
12 Fe 0.741 0.246 0.253
13 Fe 0.747 0.748 0.750
14 Fe 0.752 0.242 0.754
15 Fe 0.924 0.506 0.016
16 O 0.230 0.248 0.482
17 O 0.247 0.736 0.981
18 O 0.247 0.750 0.514
19 O 0.257 0.216 0.007
20 O 0.495 0.519 0.271
21 O 0.495 0.996 0.257
22 O 0.521 0.975 0.741
23 O 0.529 0.494 0.745
24 O 0.747 0.247 0.495
25 O 0.751 0.774 0.985
26 O 0.755 0.238 0.011
27 O 0.769 0.740 0.516
28 O 0.964 0.988 0.749
29 O 0.994 0.497 0.242
30 O 0.995 0.509 0.769
31 O 0.995 0.969 0.249

Properties
* polymorph energy (0 for the lowest one): 0.0 kJ/mol of atoms